{
  "formula": "TaPAu2",
  "functional": "PBE",
  "state": "optimized geometry",
  "dft_energy_ev_per_atom": -5.85,
  "ef_kj_per_mol_atoms": 10,
  "m_tot_mub_per_fu": 0.00,
  "cell": [[-6.059, -3.987, -1.493], [3.818, -6.237, 1.164], [-1.782, -5.048, 2.347]],
  "species": ["P", "P", "Au", "Au", "Au", "Au", "Ta", "Ta"],
  "fractional_positions": [[0.500, 0.500, 0.000], [0.250, 0.750, 0.500], [0.596, 0.125, 0.250], [0.154, 0.625, 0.250], [0.375, 0.404, 0.750], [0.875, 0.846, 0.750], [0.000, 0.000, 0.000], [0.750, 0.250, 0.500]]
}

---

{
  "formula": "Ac5Pm2Pr4",
  "functional": "PBE",
  "state": "optimized geometry",
  "dft_energy_ev_per_atom": -4.33,
  "ef_kj_per_mol_atoms": 13,
  "m_tot_mub_per_fu": 0.00,
  "cell": [[-1.379, -2.323, -2.569], [11.594, -4.784, -1.896], [-13.462, -1.547, 8.624]],
  "species": ["Ac", "Ac", "Ac", "Ac", "Ac", "Pm", "Pm", "Pr", "Pr", "Pr", "Pr"],
  "fractional_positions": [[0.000, 0.599, 0.282], [0.000, 0.225, 0.198], [0.000, 0.500, 0.000], [0.000, 0.775, 0.802], [0.000, 0.401, 0.718], [0.000, 0.032, 0.649], [0.000, 0.968, 0.351], [0.500, 0.682, 0.538], [0.500, 0.157, 0.925], [0.500, 0.318, 0.462], [0.500, 0.843, 0.075]]
}

---

{
  "formula": "K2LiSb",
  "functional": "PBE",
  "state": "optimized geometry",
  "de_polymorph_ev_per_atom": 0.000,
  "raw_formation_energy_mev_per_atom": -479,
  "dft_energy_ev_per_atom": -2.54,
  "m_tot_mub_per_fu": 0.00,
  "cell": [[-4.427, -0.480, 4.460], [2.503, -6.104, 1.828], [3.596, 4.214, 4.022]],
  "species": ["K", "K", "K", "K", "Li", "Li", "Sb", "Sb"],
  "fractional_positions": [[0.750, 0.967, 0.305], [0.250, 0.033, 0.695], [0.250, 0.695, 0.033], [0.750, 0.305, 0.967], [0.500, 0.500, 0.500], [0.000, 0.500, 0.500], [0.250, 0.248, 0.248], [0.750, 0.752, 0.752]]
}